1.
VASP calculation (PBE) on a relaxed structure of AlAuBr2.

a b c (Å): 5.1135 5.1135 5.1135
angles (deg): 60.00 60.00 60.00
Atoms (fractional coordinates):
Au  0.5000  0.5000  0.5000
Al  0.0000  0.0000  0.0000
Br  0.2500  0.2500  0.2500
Br  0.7500  0.7500  0.7500

## Properties
polymorph energy (0 for the lowest one) = 3.04 eV/f.u.
ΔE_f (raw) = 0.176 eV per atom
total DFT energy (no corrections) = -2.415 eV/atom

---

2.
VASP calculation (PBE) on a relaxed structure of Sc2TaRh.

a b c (Å): 9.2293 9.2293 9.2293
angles (deg): 19.36 19.36 19.36
Atoms (fractional coordinates):
Rh  0.7500  0.7500  0.7500
Sc  0.0080  0.0080  0.0080
Sc  0.4920  0.4920  0.4920
Ta  0.2500  0.2500  0.2500

## Properties
polymorph energy (0 for the lowest one) = 0.71 eV/f.u.
total DFT energy (no corrections) = -8.153 eV/atom

---

3.
VASP calculation (PBE) on a relaxed structure of LiMg2Ga3.

a b c (Å): 5.4916 5.4916 8.4877
angles (deg): 101.78 101.78 111.66
Atoms (fractional coordinates):
Li  0.6647  0.6647  0.3294
Li  0.3353  0.3353  0.6706
Mg  0.2500  0.7500  0.5000
Mg  0.7511  0.7511  0.0000
Mg  0.7500  0.2500  0.5000
Mg  0.2489  0.2489  0.0000
Ga  0.3336  0.8353  0.1689
Ga  0.1647  0.6664  0.8311
Ga  0.6664  0.1647  0.8311
Ga  0.8353  0.3336  0.1689
Ga  0.1715  0.1715  0.3430
Ga  0.8285  0.8285  0.6570

## Properties
polymorph energy (0 for the lowest one) = 0.22 eV/f.u.
total DFT energy (no corrections) = -2.519 eV/atom

---

4.
VASP calculation (PBE) on a relaxed structure of Pr5Co2Te.

a b c (Å): 7.9685 7.9685 8.8845
angles (deg): 116.64 116.64 90.00
Atoms (fractional coordinates):
Pr  0.5218  0.7112  0.7330
Pr  0.7888  0.9782  0.2670
Pr  0.0000  0.0000  0.0000
Pr  0.5000  0.5000  0.0000
Pr  0.2112  0.0218  0.7330
Pr  0.7112  0.2112  0.7330
Pr  0.0218  0.5218  0.7330
Pr  0.2888  0.7888  0.2670
Pr  0.9782  0.4782  0.2670
Pr  0.4782  0.2888  0.2670
Co  0.1403  0.3597  0.0000
Co  0.6403  0.1403  0.0000
Co  0.3597  0.8597  0.0000
Co  0.8597  0.6403  0.0000
Te  0.7500  0.7500  0.5000
Te  0.2500  0.2500  0.5000

## Properties
ΔE_f (raw) = -0.365 eV per atom
total DFT energy (no corrections) = -5.521 eV/atom

---

5.
VASP calculation (PBE) on a relaxed structure of CsNaBi.

a b c (Å): 4.3913 4.3913 7.5474
angles (deg): 106.91 106.91 90.00
Atoms (fractional coordinates):
Cs  0.0123  0.0123  0.0246
Na  0.2801  0.2801  0.5601
Bi  0.7076  0.7076  0.4153

## Properties
polymorph energy (0 for the lowest one) = 0.28 eV/f.u.
total DFT energy (no corrections) = -2.260 eV/atom

---

6.
VASP calculation (PBE) on a relaxed structure of TmHfCo4.

a b c (Å): 4.9342 4.9342 4.9342
angles (deg): 60.00 60.00 60.00
Site moments in Bohr magnetons follow the coordinates.
Atoms (fractional coordinates):
Co  0.6253  0.6253  0.1241  0.88
Co  0.6253  0.1241  0.6253  0.88
Co  0.6253  0.6253  0.6253  0.88
Co  0.1241  0.6253  0.6253  0.88
Tm  0.2500  0.2500  0.2500  -0.28
Hf  0.0000  0.0000  0.0000  -0.28

## Properties
total DFT energy (no corrections) = -7.428 eV/atom

---

7.
VASP calculation (PBE) on a relaxed structure of Sc2AgN.

a b c (Å): 6.2063 6.2063 5.9020
angles (deg): 58.28 58.28 90.00
Atoms (fractional coordinates):
Sc  0.5279  0.1250  0.2500
Sc  0.2221  0.6250  0.2500
Sc  0.3750  0.4721  0.7500
Sc  0.8750  0.7779  0.7500
Ag  0.0000  0.0000  0.0000
Ag  0.7500  0.2500  0.5000
N  0.5000  0.5000  0.0000
N  0.2500  0.7500  0.5000

## Properties
ΔE_f (raw) = -0.790 eV per atom
total DFT energy (no corrections) = -6.749 eV/atom

---

8.
VASP calculation (PBE) on a relaxed structure of Ce3Sm4NpN8.

a b c (Å): 7.1114 7.1134 7.1112
angles (deg): 119.99 120.00 90.00
Site moments in Bohr magnetons follow the coordinates.
Atoms (fractional coordinates):
Ce  0.5000  0.5000  0.0000  0.14
Ce  0.5000  0.5000  0.5000  0.14
Ce  0.0000  0.5000  0.5000  0.14
Sm  0.5000  0.0000  0.0000  0.07
Sm  0.5000  0.0000  0.5000  0.02
Sm  0.0000  0.0000  0.0000  0.02
Sm  0.0000  0.0000  0.5000  0.02
Np  0.0000  0.5000  0.0000  2.92
N  0.2387  0.7341  0.9954  -0.06
N  0.2388  0.7341  0.4776  -0.06
N  0.2537  0.2612  0.5075  0.00
N  0.7566  0.7341  0.9954  -0.06
N  0.2434  0.2659  0.0046  -0.06
N  0.7463  0.7388  0.4925  0.00
N  0.7612  0.2659  0.5224  -0.06
N  0.7613  0.2659  0.0046  -0.06

## Properties
ΔE_f (raw) = -1.454 eV per atom
total DFT energy (no corrections) = -8.718 eV/atom

---

Question: Number 5 is which compound?
Answer: CsNaBi